No. 1
Compound: ZrAl2Mo
Source: Alexandria via LeMat-Bulk
Functional: PBE-GGA
Structure: relaxed

Calculated values
- Energy of formation from the pure elements: -0.0512 eV/atom
- Final energy: -6.77 eV/atom
- Total moment: 0.00 μB/f.u.

Lattice parameters (Å, degrees): 2.9311 2.9311 28.5422 90.00 90.00 120.00
Space group R-3m (No. 166, hexagonal axes)
Symmetry-distinct sites (fractional):
Zr1 0.0000 0.0000 0.0000 [3 per cell]
Al1 0.0000 0.0000 0.2437 [6 per cell]
Mo1 0.0000 0.0000 0.5000 [3 per cell]

***

No. 2
Compound: K6Rb8Br
Source: Alexandria via LeMat-Bulk
Functional: PBE-GGA
Structure: relaxed

Calculated values
- Final energy: -1.28 eV/atom
- Total moment: 0.00 μB/f.u.
- Raw formation energy: -0.21 eV/atom

Lattice parameters (Å, degrees): 12.9422 12.9422 8.0337 90.00 90.00 120.00
Space group P-3 (No. 147)
Symmetry-distinct sites (fractional):
K1 0.0981 0.4869 0.2519 [6 per cell]
Rb1 0.0459 0.2422 0.7537 [6 per cell]
Rb2 0.3333 0.6667 0.7524 [2 per cell]
Br1 0.0000 0.0000 0.0000 [1 per cell]

***

No. 3
Compound: KPt3
Source: Alexandria via LeMat-Bulk
Functional: PBE-GGA
Structure: relaxed

Calculated values
- Energy of formation from the pure elements: 0.2398 eV/atom
- Final energy: -4.57 eV/atom
- Total moment: 0.00 μB/f.u.

Lattice parameters (Å, degrees): 2.8237 2.8237 10.2764 90.00 90.00 120.00
Space group P-6m2 (No. 187)
Symmetry-distinct sites (fractional):
K1 0.0000 0.0000 0.0000 [1 per cell]
Pt1 0.0000 0.0000 0.5000 [1 per cell]
Pt2 0.3333 0.6667 0.2702 [2 per cell]

***

No. 4
Compound: Tb3Dy2Ge4
Source: Alexandria via LeMat-Bulk
Functional: PBE-GGA
Structure: relaxed

Calculated values
- Energy of formation from the pure elements: -0.8608 eV/atom
- Final energy: -5.48 eV/atom
- Total moment: 0.00 μB/f.u.

Lattice parameters (Å, degrees): 7.9941 7.8054 7.6332 90.00 112.64 90.00
Space group P2_1/c (No. 14)
Symmetry-distinct sites (fractional):
Tb1 0.0000 0.0000 0.0000 [2 per cell]
Tb2 0.2984 0.1792 0.4400 [4 per cell]
Dy1 0.2644 0.6628 0.2757 [4 per cell]
Ge1 0.0085 0.1309 0.6290 [4 per cell]
Ge2 0.4121 0.5332 0.6792 [4 per cell]

***

No. 5
Compound: Pa2Ge4IrPt3
Source: Alexandria via LeMat-Bulk
Functional: PBE-GGA
Structure: relaxed

Calculated values
- Energy of formation from the pure elements: -0.6839 eV/atom
- Final energy: -7.13 eV/atom
- Total moment: 0.25 μB/f.u.

Lattice parameters (Å, degrees): 4.3243 4.3243 9.9440 90.00 90.00 90.00
Space group P-4m2 (No. 115)
Symmetry-distinct sites (fractional):
Pa1 0.0000 0.5000 0.2435 [2 per cell]
Ge1 0.0000 0.0000 0.5000 [1 per cell]
Ge2 0.0000 0.5000 0.8684 [2 per cell]
Ge3 0.5000 0.5000 0.5000 [1 per cell]
Ir1 0.5000 0.5000 0.0000 [1 per cell]
Pt1 0.0000 0.0000 0.0000 [1 per cell]
Pt2 0.0000 0.5000 0.6261 [2 per cell]

***

No. 6
Compound: Sn4SbSe7
Source: Alexandria via LeMat-Bulk
Functional: PBE-GGA
Structure: relaxed

Calculated values
- Final energy: -4.05 eV/atom
- Total moment: 0.00 μB/f.u.
- Raw formation energy: -0.34 eV/atom

Lattice parameters (Å, degrees): 13.2955 4.0783 12.9806 90.00 104.38 90.00
Space group Cm (No. 8)
Symmetry-distinct sites (fractional):
Sn1 0.0000 0.0000 0.0000 [2 per cell]
Sn2 0.0678 0.5000 0.4036 [2 per cell]
Sn3 0.2394 0.0000 0.7608 [2 per cell]
Sn4 0.3965 0.5000 0.5666 [2 per cell]
Sb1 0.2507 0.5000 0.1311 [2 per cell]
Se1 0.0451 0.5000 0.6130 [2 per cell]
Se2 0.1200 0.5000 0.9380 [2 per cell]
Se3 0.1369 0.0000 0.2018 [2 per cell]
Se4 0.2476 0.0000 0.5382 [2 per cell]
Se5 0.3609 0.0000 0.0312 [2 per cell]
Se6 0.3899 0.5000 0.7781 [2 per cell]
Se7 0.4138 0.5000 0.3639 [2 per cell]